Entry 1:
DFT (PBE) results for a relaxed Rb3Hg2Br6 crystal.

Results
**Calculated density**: 4.31 g/cm3
**Energy relative to the elements, uncorrected**: -1123 meV per atom
**Symmetry**: I4/mmm
**Total energy**: -2.35 eV/atom
**Size of the total moment**: 0.000 μB per cell
**Crystal system**: tetragonal
**Density of states at the Fermi level**: 0.69 states/eV/cell

a b c (Å): 5.6157 5.6157 14.4422
angles (deg): 101.21 101.21 90.00
Closest atoms and distances in Å follow each position.
Element x y z (fractional)
Br (0.2994, 0.2994, 0.5987)  1 Hg 2.83
Br (0.5818, 0.0818, 0.1636)  2 Hg 2.85
Br (0.7006, 0.7006, 0.4013)  1 Hg 2.83
Br (0.0818, 0.5818, 0.1636)  2 Hg 2.85
Br (0.4182, 0.9182, 0.8364)  2 Hg 2.85
Br (0.9182, 0.4182, 0.8364)  2 Hg 2.85
Hg (0.5989, 0.5989, 0.1977)  5 Br 2.83-2.85
Hg (0.4011, 0.4011, 0.8023)  5 Br 2.83-2.85
Rb (0.8239, 0.8239, 0.6478)  1 Br 3.42
Rb (0.1761, 0.1761, 0.3522)  1 Br 3.42
Rb (0.0000, 0.0000, 0.0000)  8 Br 3.61


Entry 2:
DFT (PBE) results for a relaxed Rb3HgBr crystal.

Results
**Calculated density**: 3.52 g/cm3
**Energy relative to the elements, uncorrected**: -729 meV per atom
**Symmetry**: P2_1/m
**Total energy**: -1.70 eV/atom
**Size of the total moment**: 0.000 μB per cell
**Crystal system**: monoclinic
**Density of states at the Fermi level**: 5.18 states/eV/cell
**Energy relative to the lowest polymorph listed for this composition**: 0.00 eV/f.u.

a b c (Å): 4.7415 10.8333 10.7733
angles (deg): 113.74 90.00 90.00
Closest atoms and distances in Å follow each position.
Element x y z (fractional)
Br (0.2500, 0.2791, 0.3637)  7 Rb 3.58-3.78
Br (0.7500, 0.7209, 0.6363)  7 Rb 3.58-3.78
Hg (0.7500, 0.5930, 0.0688)  2 Hg 3.08
Hg (0.2500, 0.4070, 0.9312)  2 Hg 3.08
Rb (0.7500, 0.9872, 0.2974)  2 Br 3.78, 1 Hg 3.98, 1 Rb 4.23
Rb (0.2500, 0.7422, 0.8970)  2 Br 3.61, 3 Hg 3.75-3.79
Rb (0.7500, 0.3852, 0.6362)  3 Br 3.58-3.64, 2 Hg 3.89
Rb (0.7500, 0.2579, 0.1030)  2 Br 3.61, 3 Hg 3.75-3.79
Rb (0.2500, 0.0128, 0.7026)  2 Br 3.78, 1 Hg 3.98, 1 Rb 4.23
Rb (0.2500, 0.6148, 0.3638)  3 Br 3.58-3.64, 2 Hg 3.89


Entry 3:
DFT (PBE) results for a relaxed Rb4HgBr7 crystal.

Results
**Calculated density**: 3.62 g/cm3
**Energy relative to the elements, uncorrected**: -1248 meV per atom
**Symmetry**: C2/m
**Total energy**: -2.57 eV/atom
**Size of the total moment**: 0.000 μB per cell
**Crystal system**: monoclinic
**Density of states at the Fermi level**: 1.52 states/eV/cell

a b c (Å): 5.8874 10.7997 9.1540
angles (deg): 68.50 71.24 74.18
Closest atoms and distances in Å follow each position.
Element x y z (fractional)
Rb (0.7252, 0.6946, 0.8549)  7 Br 3.52-3.88
Rb (0.5526, 0.2625, 0.6324)  6 Br 3.36-3.62
Rb (0.2748, 0.3054, 0.1451)  7 Br 3.52-3.88
Rb (0.4474, 0.7375, 0.3676)  6 Br 3.36-3.62
Br (0.5000, 0.0000, 0.0000)  2 Hg 2.94
Br (0.3460, 0.5487, 0.7593)  5 Rb 3.36-3.52
Br (0.9333, 0.2557, 0.8776)  1 Hg 2.54
Br (0.6540, 0.4513, 0.2407)  5 Rb 3.36-3.52
Br (0.2412, 0.0100, 0.5076)  2 Br 2.96
Br (0.7588, 0.9900, 0.4924)  2 Br 2.96
Br (0.0667, 0.7443, 0.1224)  1 Hg 2.54
Hg (0.0000, 0.0000, 0.0000)  2 Br 2.54


Entry 4:
DFT (PBE) results for a relaxed Rb2Hg2Br5 crystal.

Results
**Calculated density**: 4.64 g/cm3
**Energy relative to the elements, uncorrected**: -972 meV per atom
**Symmetry**: C2/m
**Total energy**: -2.18 eV/atom
**Size of the total moment**: 0.000 μB per cell
**Crystal system**: monoclinic
**Density of states at the Fermi level**: 1.10 states/eV/cell
**Energy relative to the lowest polymorph listed for this composition**: 0.03 eV/f.u.

a b c (Å): 5.7725 8.3370 8.4454
angles (deg): 112.73 90.00 110.25
Closest atoms and distances in Å follow each position.
Element x y z (fractional)
Rb (0.3913, 0.7826, 0.7059)  7 Br 3.46-3.73
Rb (0.6087, 0.2174, 0.2941)  7 Br 3.46-3.73
Br (0.3547, 0.7094, 0.1003)  3 Hg 2.91-3.21
Br (0.1490, 0.2979, 0.5419)  1 Hg 2.74
Br (0.0000, 0.0000, 0.0000)  2 Hg 2.83
Br (0.8510, 0.7021, 0.4581)  1 Hg 2.74
Br (0.6453, 0.2906, 0.8997)  3 Hg 2.91-3.21
Hg (0.8659, 0.7318, 0.1455)  4 Br 2.74-2.91
Hg (0.1341, 0.2682, 0.8545)  4 Br 2.74-2.91


Entry 5:
DFT (PBE) results for a relaxed Rb3Hg5Br12 crystal.

Results
**Calculated density**: 4.83 g/cm3
**Energy relative to the elements, uncorrected**: -816 meV per atom
**Symmetry**: Ia-3d
**Total energy**: -2.04 eV/atom
**Size of the total moment**: 0.000 μB per cell
**Crystal system**: cubic
**Density of states at the Fermi level**: 6.96 states/eV/cell

a b c (Å): 15.8290 15.8290 15.8290
angles (deg): 109.47 109.47 109.47
Closest atoms and distances in Å follow each position.
Element x y z (fractional)
Br (0.9786, 0.3846, 0.2996)  2 Hg 2.72-2.92
Br (0.9059, 0.0850, 0.8846)  2 Hg 2.72-2.92
Br (0.0850, 0.1790, 0.2004)  2 Hg 2.72-2.92
Br (0.7996, 0.4786, 0.3846)  2 Hg 2.72-2.92
Br (0.2996, 0.4150, 0.8210)  2 Hg 2.72-2.92
Br (0.4150, 0.1154, 0.5941)  2 Hg 2.72-2.92
Br (0.3210, 0.7996, 0.4150)  2 Hg 2.72-2.92
Br (0.9150, 0.0941, 0.6154)  2 Hg 2.72-2.92
Br (0.1790, 0.0941, 0.9786)  2 Hg 2.72-2.92
Br (0.6790, 0.2004, 0.5850)  2 Hg 2.72-2.92
Br (0.0214, 0.4059, 0.8210)  2 Hg 2.72-2.92
Br (0.3846, 0.4059, 0.0850)  2 Hg 2.72-2.92
Br (0.5941, 0.6154, 0.4150)  2 Hg 2.72-2.92
Br (0.8846, 0.5850, 0.9059)  2 Hg 2.72-2.92
Br (0.7004, 0.5850, 0.1790)  2 Hg 2.72-2.92
Br (0.5214, 0.2004, 0.1154)  2 Hg 2.72-2.92
Br (0.7996, 0.3210, 0.9150)  2 Hg 2.72-2.92
Br (0.2004, 0.5214, 0.6154)  2 Hg 2.72-2.92
Br (0.6790, 0.4786, 0.5941)  2 Hg 2.72-2.92
Br (0.6154, 0.5941, 0.9150)  2 Hg 2.72-2.92
Br (0.9059, 0.8210, 0.5214)  2 Hg 2.72-2.92
Br (0.9150, 0.8210, 0.7996)  2 Hg 2.72-2.92
Br (0.7004, 0.1154, 0.0214)  2 Hg 2.72-2.92
Br (0.4059, 0.0214, 0.3210)  2 Hg 2.72-2.92
Br (0.3210, 0.5214, 0.4059)  2 Hg 2.72-2.92
Br (0.8210, 0.9059, 0.0214)  2 Hg 2.72-2.92
Br (0.6154, 0.0214, 0.2004)  2 Hg 2.72-2.92
Br (0.0850, 0.9059, 0.3846)  2 Hg 2.72-2.92
Br (0.1790, 0.0850, 0.7004)  2 Hg 2.72-2.92
Br (0.5850, 0.7004, 0.6790)  2 Hg 2.72-2.92
Br (0.0214, 0.6154, 0.7004)  2 Hg 2.72-2.92
Br (0.1154, 0.4150, 0.0941)  2 Hg 2.72-2.92
Br (0.5214, 0.3210, 0.9059)  2 Hg 2.72-2.92
Br (0.1154, 0.7004, 0.5214)  2 Hg 2.72-2.92
Br (0.8210, 0.9150, 0.2996)  2 Hg 2.72-2.92
Br (0.4786, 0.6790, 0.0941)  2 Hg 2.72-2.92
Br (0.4786, 0.7996, 0.8846)  2 Hg 2.72-2.92
Br (0.8846, 0.2996, 0.4786)  2 Hg 2.72-2.92
Br (0.9786, 0.5941, 0.1790)  2 Hg 2.72-2.92
Br (0.2004, 0.6790, 0.0850)  2 Hg 2.72-2.92
Br (0.3846, 0.9786, 0.7996)  2 Hg 2.72-2.92
Br (0.0941, 0.9150, 0.1154)  2 Hg 2.72-2.92
Br (0.5850, 0.8846, 0.4059)  2 Hg 2.72-2.92
Br (0.2996, 0.8846, 0.9786)  2 Hg 2.72-2.92
Br (0.4150, 0.2996, 0.3210)  2 Hg 2.72-2.92
Br (0.4059, 0.3846, 0.5850)  2 Hg 2.72-2.92
Br (0.5941, 0.9786, 0.6790)  2 Hg 2.72-2.92
Br (0.0941, 0.1790, 0.4786)  2 Hg 2.72-2.92
Hg (0.0000, 0.5000, 0.5000)  6 Br 2.92
Hg (0.7500, 0.6250, 0.3750)  4 Br 2.72
Hg (0.8750, 0.6250, 0.7500)  4 Br 2.72
Hg (0.5000, 0.0000, 0.5000)  6 Br 2.92
Hg (0.1250, 0.3750, 0.2500)  4 Br 2.72
Hg (0.3750, 0.2500, 0.1250)  4 Br 2.72
Hg (0.0000, 0.0000, 0.0000)  6 Br 2.92
Hg (0.1250, 0.7500, 0.3750)  4 Br 2.72
Hg (0.8750, 0.2500, 0.6250)  4 Br 2.72
Hg (0.0000, 0.0000, 0.5000)  6 Br 2.92
Hg (0.7500, 0.1250, 0.8750)  4 Br 2.72
Hg (0.5000, 0.5000, 0.0000)  6 Br 2.92
Hg (0.5000, 0.5000, 0.5000)  6 Br 2.92
Hg (0.6250, 0.7500, 0.8750)  4 Br 2.72
Hg (0.0000, 0.5000, 0.0000)  6 Br 2.92
Hg (0.3750, 0.1250, 0.7500)  4 Br 2.72
Hg (0.2500, 0.8750, 0.1250)  4 Br 2.72
Hg (0.2500, 0.3750, 0.6250)  4 Br 2.72
Hg (0.5000, 0.0000, 0.0000)  6 Br 2.92
Hg (0.6250, 0.8750, 0.2500)  4 Br 2.72
Rb (0.6250, 0.3750, 0.7500)  8 Br 3.56-3.67
Rb (0.8750, 0.1250, 0.2500)  8 Br 3.56-3.67
Rb (0.1250, 0.8750, 0.7500)  8 Br 3.56-3.67
Rb (0.2500, 0.1250, 0.3750)  8 Br 3.56-3.67
Rb (0.2500, 0.6250, 0.8750)  8 Br 3.56-3.67
Rb (0.7500, 0.3750, 0.1250)  8 Br 3.56-3.67
Rb (0.3750, 0.6250, 0.2500)  8 Br 3.56-3.67
Rb (0.1250, 0.2500, 0.8750)  8 Br 3.56-3.67
Rb (0.6250, 0.2500, 0.3750)  8 Br 3.56-3.67
Rb (0.8750, 0.7500, 0.1250)  8 Br 3.56-3.67
Rb (0.3750, 0.7500, 0.6250)  8 Br 3.56-3.67
Rb (0.7500, 0.8750, 0.6250)  8 Br 3.56-3.67


Entry 6:
DFT (PBE) results for a relaxed Rb3HgBr5 crystal.

Results
**Calculated density**: 4.01 g/cm3
**Energy relative to the elements, uncorrected**: -1312 meV per atom
**Symmetry**: I4/mcm
**Total energy**: -2.60 eV/atom
**Size of the total moment**: 0.295 μB per cell
**Crystal system**: tetragonal
**Density of states at the Fermi level**: 0.00 states/eV/cell

a b c (Å): 9.3673 9.3673 10.4471
angles (deg): 116.64 116.64 90.00
Closest atoms and distances in Å follow each position.
Element x y z (fractional)
Br (0.5000, 0.5000, 0.0000)  4 Rb 3.53
Br (0.5093, 0.6990, 0.7084)  1 Hg 2.66
Br (0.3010, 0.8010, 0.2916)  1 Hg 2.66
Br (0.4907, 0.3010, 0.2916)  1 Hg 2.66
Br (0.8010, 0.9907, 0.2916)  1 Hg 2.66
Br (0.6990, 0.1990, 0.7084)  1 Hg 2.66
Br (0.9907, 0.4907, 0.2916)  1 Hg 2.66
Br (0.1990, 0.0093, 0.7084)  1 Hg 2.66
Br (0.0093, 0.5093, 0.7084)  1 Hg 2.66
Br (0.0000, 0.0000, 0.0000)  4 Rb 3.53
Hg (0.7500, 0.2500, 0.5000)  4 Br 2.66
Hg (0.2500, 0.7500, 0.5000)  4 Br 2.66
Rb (0.2500, 0.2500, 0.5000)  10 Br 3.92-4.04
Rb (0.8422, 0.6578, 0.0000)  8 Br 3.42-3.76
Rb (0.6578, 0.1578, 0.0000)  8 Br 3.42-3.76
Rb (0.1578, 0.3422, 0.0000)  8 Br 3.42-3.76
Rb (0.7500, 0.7500, 0.5000)  10 Br 3.92-4.04
Rb (0.3422, 0.8422, 0.0000)  8 Br 3.42-3.76